(1)
Computed, not measured: HfNiPb after structural relaxation at the PBE level of DFT.

Values from the calculation:
Symmetry: P-62m, No. 189
Total moment (μB per cell): 0.01
E (eV for the cell shown): -57.7

Unit cell a=6.7429 b=6.7429 c=4.3277 alpha=90.00 beta=90.00 gamma=120.00
Fractional positions:
Hf1 0.0000 0.5401 0.0000
Hf2 0.4599 0.4599 0.0000
Hf3 0.5401 0.0000 0.0000
Ni1 0.0000 0.2453 0.5000
Ni2 0.2453 0.0000 0.5000
Ni3 0.7547 0.7547 0.5000
Pb1 0.0000 0.0000 0.0000
Pb2 0.3333 0.6667 0.5000
Pb3 0.6667 0.3333 0.5000


(2)
Computed, not measured: HfNiPdPb after structural relaxation at the PBE level of DFT.

Values from the calculation:
Energy above the most stable polymorph in this dataset (meV per atom): 0
Symmetry: F-43m, No. 216
Total moment (μB per cell): 0.00

Unit cell a=4.6366 b=4.6366 c=4.6366 alpha=60.00 beta=60.00 gamma=60.00
Fractional positions:
Hf1 0.0000 0.0000 0.0000
Ni1 0.7500 0.7500 0.7500
Pd1 0.2500 0.2500 0.2500
Pb1 0.5000 0.5000 0.5000


(3)
Computed, not measured: Hf2NiPdPb2 after structural relaxation at the PBE level of DFT.

Values from the calculation:
Symmetry: Pm, No. 6
Total moment (μB per cell): 0.01
E (eV for the cell shown): -161.1

Unit cell a=7.7609 b=4.4703 c=14.8401 alpha=90.00 beta=99.84 gamma=90.00
Fractional positions:
Hf1 0.0000 0.0000 0.0000
Hf2 0.0026 0.5000 0.4938
Hf3 0.2426 0.0000 0.7416
Hf4 0.2467 0.5000 0.2446
Hf5 0.4898 0.0000 0.4901
Hf6 0.4993 0.5000 0.0000
Hf7 0.7462 0.0000 0.2421
Hf8 0.7531 0.5000 0.7428
Ni1 0.0601 0.0000 0.1829
Ni2 0.0599 0.5000 0.6797
Ni3 0.3070 0.5000 0.4295
Ni4 0.5598 0.5000 0.1821
Pd1 0.3097 0.0000 0.9351
Pd2 0.5597 0.0000 0.6790
Pd3 0.8102 0.0000 0.4302
Pd4 0.8132 0.5000 0.9354
Pb1 0.1224 0.5000 0.8645
Pb2 0.1275 0.0000 0.3662
Pb3 0.3642 0.5000 0.6148
Pb4 0.3738 0.0000 0.1261
Pb5 0.6131 0.5000 0.3657
Pb6 0.6219 0.0000 0.8690
Pb7 0.8755 0.5000 0.1263
Pb8 0.8804 0.0000 0.6198


(4)
Computed, not measured: HfNiPdPb after structural relaxation at the PBE level of DFT.

Values from the calculation:
Energy above the most stable polymorph in this dataset (meV per atom): 219
Symmetry: F-43m, No. 216
Total moment (μB per cell): 0.00

Unit cell a=4.6218 b=4.6218 c=4.6218 alpha=60.00 beta=60.00 gamma=60.00
Fractional positions:
Hf1 0.0000 0.0000 0.0000
Ni1 0.5000 0.5000 0.5000
Pd1 0.7500 0.7500 0.7500
Pb1 0.2500 0.2500 0.2500


(5)
Computed, not measured: HfNiPtPb after structural relaxation at the PBE level of DFT.

Values from the calculation:
Energy above the most stable polymorph in this dataset (meV per atom): 159
Symmetry: F-43m, No. 216
Total moment (μB per cell): 0.01

Unit cell a=4.6585 b=4.6585 c=4.6585 alpha=60.00 beta=60.00 gamma=60.00
Fractional positions:
Hf1 0.0000 0.0000 0.0000
Ni1 0.5000 0.5000 0.5000
Pt1 0.7500 0.7500 0.7500
Pb1 0.2500 0.2500 0.2500


(6)
Computed, not measured: HfNiPtPb after structural relaxation at the PBE level of DFT.

Values from the calculation:
Energy above the most stable polymorph in this dataset (meV per atom): 0
Symmetry: F-43m, No. 216
Total moment (μB per cell): 0.00

Unit cell a=4.6599 b=4.6599 c=4.6599 alpha=60.00 beta=60.00 gamma=60.00
Fractional positions:
Hf1 0.0000 0.0000 0.0000
Ni1 0.7500 0.7500 0.7500
Pt1 0.2500 0.2500 0.2500
Pb1 0.5000 0.5000 0.5000